Record 1
An optimized crystal structure of CrAg2Pt. Source: the Alexandria database, functional GGA-PBE.

a = 4.4700 Å, b = 4.4700 Å, c = 4.4700 Å
α = 60.00°, β = 60.00°, γ = 60.00°
With the nearest neighbours (Å) after each atom.
Fractional coordinates of all 4 atoms:
Cr (0.0000, 0.0000, 0.0000)  8 Ag 2.74
Ag (0.7500, 0.7500, 0.7500)  4 Pt 2.74, 4 Cr 2.74
Ag (0.2500, 0.2500, 0.2500)  4 Pt 2.74, 4 Cr 2.74
Pt (0.5000, 0.5000, 0.5000)  8 Ag 2.74

Properties
**Crystal system**: cubic
**Fermi-level density of states**: 7.36 states/eV/cell
**Relative energy among the computed polymorphs**: 493.3 meV per atom
**ΔH_f (0 K)**: 0.587 eV per atom
**Total energy**: -0.3495 Ry/atom

***

Record 2
An optimized crystal structure of CaTaGeO6. Source: the Alexandria database, functional GGA-PBE.

a = 5.2145 Å, b = 5.2145 Å, c = 9.9924 Å
α = 90.00°, β = 90.00°, γ = 120.00°
With the nearest neighbours (Å) after each atom.
Fractional coordinates of all 18 atoms:
Ca (0.0000, 0.0000, 0.0000)  6 O 2.41
O (0.6358, 0.6238, 0.6435)  1 Ge 1.92, 1 Ta 2.01
O (0.0120, 0.6358, 0.3565)  1 Ge 1.92, 1 Ta 2.01
O (0.3642, 0.9880, 0.1435)  1 Ge 1.92, 1 Ta 2.01
O (0.3762, 0.3642, 0.8565)  1 Ge 1.92, 1 Ta 2.01
O (0.0120, 0.3762, 0.1435)  1 Ge 1.92, 1 Ta 2.01
Ta (0.3333, 0.6667, 0.7500)  6 O 2.01
O (0.6238, 0.6358, 0.1435)  1 Ge 1.92, 1 Ta 2.01
O (0.6238, 0.9880, 0.3565)  1 Ge 1.92, 1 Ta 2.01
Ge (0.6667, 0.3333, 0.7500)  6 O 1.92
O (0.3762, 0.0120, 0.6435)  1 Ge 1.92, 1 Ta 2.01
Ca (0.0000, 0.0000, 0.5000)  6 O 2.41
O (0.6358, 0.0120, 0.8565)  1 Ge 1.92, 1 Ta 2.01
O (0.3642, 0.3762, 0.3565)  1 Ge 1.92, 1 Ta 2.01
Ge (0.3333, 0.6667, 0.2500)  6 O 1.92
O (0.9880, 0.3642, 0.6435)  1 Ge 1.92, 1 Ta 2.01
O (0.9880, 0.6238, 0.8565)  1 Ge 1.92, 1 Ta 2.01
Ta (0.6667, 0.3333, 0.2500)  6 O 2.01

Properties
**Crystal system**: trigonal
**Fermi-level density of states**: 10.07 states/eV/cell
**Uncorrected formation energy**: -2.252 eV/atom
**Total energy**: -0.5593 Ry/atom

***

Record 3
An optimized crystal structure of NbCoRePd2. Source: the Alexandria database, functional GGA-PBE.

a = 4.7512 Å, b = 4.3327 Å, c = 4.7512 Å
α = 90.00°, β = 90.00°, γ = 90.00°
With the nearest neighbours (Å) after each atom.
Fractional coordinates of all 5 atoms:
Pd (0.0000, 0.0000, 0.5000)  2 Re 2.38
Co (0.0000, 0.5000, 0.0000)  2 Re 2.17
Nb (0.5000, 0.5000, 0.5000)  8 Pd 3.22, 4 Co 3.36
Re (0.0000, 0.0000, 0.0000)  2 Co 2.17, 4 Pd 2.38
Pd (0.5000, 0.0000, 0.0000)  2 Re 2.38

Properties
**Crystal system**: tetragonal
**Fermi-level density of states**: 8.98 states/eV/cell
**ΔH_f (0 K)**: 1.452 eV per atom
**Total energy**: -0.4814 Ry/atom

***

Record 4
An optimized crystal structure of Ca2BeP. Source: the Alexandria database, functional GGA-PBE.

a = 3.6168 Å, b = 3.6168 Å, c = 6.6412 Å
α = 90.00°, β = 90.00°, γ = 90.00°
With the nearest neighbours (Å) after each atom.
Fractional coordinates of all 4 atoms:
Be (0.5000, 0.5000, 0.7500)  8 Ca 3.10, 2 P 3.32
P (0.5000, 0.5000, 0.2500)  8 Ca 3.00, 2 Be 3.32
Ca (0.0000, 0.0000, 0.4855)  4 P 3.00, 4 Be 3.10, 1 Ca 3.13
Ca (0.0000, 0.0000, 0.0145)  4 P 3.00, 4 Be 3.10, 1 Ca 3.13

Properties
**Crystal system**: tetragonal
**Fermi-level density of states**: 1.72 states/eV/cell
**Relative energy among the computed polymorphs**: 304.8 meV per atom
**ΔH_f (0 K)**: -0.255 eV per atom
**Total energy**: -0.2601 Ry/atom

***

Record 5
An optimized crystal structure of Pm2Zn3Au2. Source: the Alexandria database, functional GGA-PBE.

a = 4.6137 Å, b = 5.5464 Å, c = 6.6945 Å
α = 107.23°, β = 90.00°, γ = 114.58°
With the nearest neighbours (Å) after each atom.
Fractional coordinates of all 7 atoms:
Zn (0.5000, 0.0000, 0.0000)  2 Zn 2.64
Zn (0.5981, 0.1961, 0.4173)  2 Zn 2.56-2.64, 3 Au 2.75-2.76
Zn (0.4019, 0.8039, 0.5827)  2 Zn 2.56-2.64, 3 Au 2.75-2.76
Au (0.1583, 0.3165, 0.2403)  5 Zn 2.75-2.96, 3 Pm 3.04-3.06
Pm (0.8544, 0.7088, 0.2297)  4 Au 3.04-3.11, 8 Zn 3.22-3.40
Au (0.8417, 0.6835, 0.7597)  5 Zn 2.75-2.96, 3 Pm 3.04-3.06
Pm (0.1456, 0.2912, 0.7703)  4 Au 3.04-3.11, 8 Zn 3.22-3.40

Properties
**Crystal system**: monoclinic
**Fermi-level density of states**: 4.52 states/eV/cell
**ΔH_f (0 K)**: -0.560 eV per atom
**Total energy**: -0.2498 Ry/atom

***

Record 6
An optimized crystal structure of BaMo2PdI. Source: the Alexandria database, functional GGA-PBE.

a = 5.1202 Å, b = 5.1891 Å, c = 5.1202 Å
α = 90.00°, β = 90.00°, γ = 90.00°
With the nearest neighbours (Å) after each atom.
Fractional coordinates of all 5 atoms:
Mo (0.0000, 0.0000, 0.5000)  2 I 2.56
Mo (0.5000, 0.0000, 0.0000)  2 I 2.56
Ba (0.5000, 0.5000, 0.5000)  4 Pd 3.62, 8 Mo 3.64
I (0.0000, 0.0000, 0.0000)  4 Mo 2.56, 2 Pd 2.59
Pd (0.0000, 0.5000, 0.0000)  2 I 2.59

Properties
**Crystal system**: tetragonal
**Fermi-level density of states**: 4.86 states/eV/cell
**Uncorrected formation energy**: 1.240 eV/atom
**Total energy**: -0.3547 Ry/atom

***

Record 7
An optimized crystal structure of LiErGe. Source: the Alexandria database, functional GGA-PBE.

a = 6.9861 Å, b = 6.9861 Å, c = 4.2484 Å
α = 90.00°, β = 90.00°, γ = 120.00°
With the nearest neighbours (Å) after each atom.
Fractional coordinates of all 9 atoms:
Li (0.7671, 0.7671, 0.5000)  4 Ge 2.68-2.75, 2 Li 2.82
Er (0.0000, 0.5736, 0.0000)  5 Ge 2.97-2.98, 2 Li 3.19
Er (0.4264, 0.4264, 0.0000)  5 Ge 2.97-2.98, 2 Li 3.19
Ge (0.6667, 0.3333, 0.5000)  3 Li 2.75, 6 Er 2.97
Ge (0.0000, 0.0000, 0.0000)  6 Li 2.68, 3 Er 2.98
Li (0.2329, 0.0000, 0.5000)  4 Ge 2.68-2.75, 2 Li 2.82
Er (0.5736, 0.0000, 0.0000)  5 Ge 2.97-2.98, 2 Li 3.19
Li (0.0000, 0.2329, 0.5000)  4 Ge 2.68-2.75, 2 Li 2.82
Ge (0.3333, 0.6667, 0.5000)  3 Li 2.75, 6 Er 2.97

Properties
**Crystal system**: hexagonal
**Fermi-level density of states**: 0.87 states/eV/cell
**Relative energy among the computed polymorphs**: 0.0 meV per atom
**ΔH_f (0 K)**: -0.712 eV per atom
**Total energy**: -0.3241 Ry/atom

***

Record 8
An optimized crystal structure of Y3Fe3Bi. Source: the Alexandria database, functional GGA-PBE.

a = 4.2244 Å, b = 9.3375 Å, c = 9.3375 Å
α = 120.00°, β = 90.00°, γ = 90.00°
With the nearest neighbours (Å) after each atom.
Fractional coordinates of all 14 atoms:
Fe (0.2500, 0.8643, 0.0196)  6 Fe 2.37-2.52
Y (0.2500, 0.6065, 0.6848)  4 Fe 2.84-3.03
Fe (0.2500, 0.1553, 0.1357)  6 Fe 2.37-2.52
Fe (0.7500, 0.0196, 0.1553)  6 Fe 2.37-2.52
Y (0.7500, 0.9217, 0.6065)  4 Fe 2.84-3.03
Bi (0.7500, 0.3333, 0.6667)  9 Y 3.25-3.60
Y (0.7500, 0.6848, 0.0783)  4 Fe 2.84-3.03
Y (0.7500, 0.3935, 0.3152)  4 Fe 2.84-3.03
Y (0.2500, 0.3152, 0.9217)  4 Fe 2.84-3.03
Fe (0.7500, 0.1357, 0.9804)  6 Fe 2.37-2.52
Fe (0.2500, 0.9804, 0.8447)  6 Fe 2.37-2.52
Bi (0.2500, 0.6667, 0.3333)  9 Y 3.25-3.60
Fe (0.7500, 0.8447, 0.8643)  6 Fe 2.37-2.52
Y (0.2500, 0.0783, 0.3935)  4 Fe 2.84-3.03

Properties
**Crystal system**: hexagonal
**Fermi-level density of states**: 13.55 states/eV/cell
**ΔH_f (0 K)**: -0.232 eV per atom
**Total energy**: -0.5280 Ry/atom

***

Record 9
An optimized crystal structure of KTc2Cl. Source: the Alexandria database, functional GGA-PBE.

a = 6.2791 Å, b = 6.2791 Å, c = 6.2791 Å
α = 148.96°, β = 117.18°, γ = 71.72°
With the nearest neighbours (Å) after each atom.
Fractional coordinates of all 4 atoms:
K (0.2896, 0.7896, 0.5000)  2 Cl 3.14, 2 K 3.36, 2 Tc 3.48
Tc (0.7545, 0.2545, 0.5000)  2 Tc 2.28
Tc (0.9059, 0.9059, 0.0000)  2 Tc 2.28
Cl (0.5499, 0.5499, 0.0000)  2 Tc 2.68

Properties
**Crystal system**: orthorhombic
**Fermi-level density of states**: 2.93 states/eV/cell
**Relative energy among the computed polymorphs**: 604.7 meV per atom
**Uncorrected formation energy**: 0.656 eV/atom
**Total energy**: -0.3869 Ry/atom

***

Record 10
An optimized crystal structure of CeNd2TmSb5. Source: the Alexandria database, functional GGA-PBE.

a = 5.2472 Å, b = 5.2472 Å, c = 11.7615 Å
α = 90.00°, β = 90.00°, γ = 90.00°
With the nearest neighbours (Å) after each atom.
Fractional coordinates of all 9 atoms:
Tm (0.0000, 0.0000, 0.5000)  4 Sb 2.62
Sb (0.5000, 0.5000, 0.0000)  2 Nd 3.29
Nd (0.5000, 0.5000, 0.2795)  1 Sb 3.29
Sb (0.0000, 0.5000, 0.5000)  2 Tm 2.62
Sb (0.0000, 0.0000, 0.7510)  1 Ce 2.93, 1 Tm 2.95
Sb (0.5000, 0.0000, 0.5000)  2 Tm 2.62
Sb (0.0000, 0.0000, 0.2490)  1 Ce 2.93, 1 Tm 2.95
Ce (0.0000, 0.0000, 0.0000)  2 Sb 2.93
Nd (0.5000, 0.5000, 0.7205)  1 Sb 3.29

Properties
**Crystal system**: tetragonal
**Fermi-level density of states**: 11.08 states/eV/cell
**Uncorrected formation energy**: -0.341 eV/atom
**Total energy**: -0.3563 Ry/atom

***

Record 11
An optimized crystal structure of KCd2Sb. Source: the Alexandria database, functional GGA-PBE.

a = 11.0596 Å, b = 11.0596 Å, c = 11.0596 Å
α = 18.60°, β = 18.60°, γ = 18.60°
With the nearest neighbours (Å) after each atom.
Fractional coordinates of all 4 atoms:
Sb (0.7500, 0.7500, 0.7500)  6 Cd 3.26, 6 Sb 3.57
K (0.2500, 0.2500, 0.2500)  6 Cd 3.57, 6 K 3.57
Cd (0.4939, 0.4939, 0.4939)  3 Sb 3.26, 3 K 3.57, 6 Cd 3.57
Cd (0.0061, 0.0061, 0.0061)  3 Sb 3.26, 3 K 3.57, 6 Cd 3.57

Properties
**Crystal system**: trigonal
**Fermi-level density of states**: 3.35 states/eV/cell
**Uncorrected formation energy**: 0.130 eV/atom
**Total energy**: -0.1200 Ry/atom

***

Record 12
An optimized crystal structure of Tc2Ru3. Source: the Alexandria database, functional GGA-PBE.

a = 7.9973 Å, b = 6.9238 Å, c = 5.2252 Å
α = 81.03°, β = 58.78°, γ = 40.19°
With the nearest neighbours (Å) after each atom.
Fractional coordinates of all 10 atoms:
Ru (0.3270, 0.1730, 0.1730)  4 Tc 2.52-2.66, 4 Ru 2.67-2.81
Tc (0.3526, 0.0532, 0.7124)  7 Ru 2.52-2.78, 2 Tc 2.74
Ru (0.0770, 0.9230, 0.9230)  4 Tc 2.52-2.66, 4 Ru 2.67-2.81
Ru (0.8959, 0.8023, 0.5091)  6 Tc 2.63-2.83, 6 Ru 2.67-2.94
Ru (0.4477, 0.3541, 0.4573)  6 Tc 2.63-2.83, 6 Ru 2.67-2.94
Ru (0.7927, 0.5091, 0.8023)  6 Tc 2.63-2.83, 6 Ru 2.67-2.94
Tc (0.8817, 0.7124, 0.0532)  7 Ru 2.52-2.78, 2 Tc 2.74
Ru (0.7409, 0.4573, 0.3541)  6 Tc 2.63-2.83, 6 Ru 2.67-2.94
Tc (0.5376, 0.3683, 0.8974)  7 Ru 2.52-2.78, 2 Tc 2.74
Tc (0.1968, 0.8974, 0.3683)  7 Ru 2.52-2.78, 2 Tc 2.74

Properties
**Crystal system**: orthorhombic
**Fermi-level density of states**: 9.77 states/eV/cell
**Relative energy among the computed polymorphs**: 45.6 meV per atom
**ΔH_f (0 K)**: 0.108 eV per atom
**Total energy**: -0.7059 Ry/atom

***

Record 13
An optimized crystal structure of CaHfW2. Source: the Alexandria database, functional GGA-PBE.

a = 7.7969 Å, b = 7.7969 Å, c = 6.1859 Å
α = 50.93°, β = 50.93°, γ = 90.00°
With the nearest neighbours (Å) after each atom.
Fractional coordinates of all 8 atoms:
Hf (0.7500, 0.2500, 0.5000)  4 W 2.76, 2 Ca 2.81
Ca (0.2500, 0.7500, 0.5000)  2 Hf 2.81, 4 W 2.94
W (0.1083, 0.6250, 0.2500)  2 Hf 2.76, 2 W 2.82, 2 Ca 2.94
Ca (0.5000, 0.5000, 0.0000)  2 Hf 2.81, 4 W 2.94
W (0.8750, 0.8917, 0.7500)  2 Hf 2.76, 2 W 2.82, 2 Ca 2.94
W (0.3750, 0.3583, 0.7500)  2 Hf 2.76, 2 W 2.82, 2 Ca 2.94
W (0.6417, 0.1250, 0.2500)  2 Hf 2.76, 2 W 2.82, 2 Ca 2.94
Hf (0.0000, 0.0000, 0.0000)  4 W 2.76, 2 Ca 2.81

Properties
**Crystal system**: tetragonal
**Fermi-level density of states**: 11.78 states/eV/cell
**Relative energy among the computed polymorphs**: 422.7 meV per atom
**ΔH_f (0 K)**: 1.408 eV per atom
**Total energy**: -0.5922 Ry/atom

***

Record 14
An optimized crystal structure of In2SeCl. Source: the Alexandria database, functional GGA-PBE.

a = 7.7645 Å, b = 7.7645 Å, c = 6.8336 Å
α = 55.38°, β = 55.38°, γ = 90.00°
With the nearest neighbours (Å) after each atom.
Fractional coordinates of all 8 atoms:
In (0.6395, 0.1250, 0.2500)  2 Se 2.85, 2 Cl 3.00
Se (0.0000, 0.0000, 0.0000)  4 In 2.85
Cl (0.5000, 0.5000, 0.0000)  4 In 3.00
Se (0.7500, 0.2500, 0.5000)  4 In 2.85
In (0.3750, 0.3605, 0.7500)  2 Se 2.85, 2 Cl 3.00
Cl (0.2500, 0.7500, 0.5000)  4 In 3.00
In (0.1105, 0.6250, 0.2500)  2 Se 2.85, 2 Cl 3.00
In (0.8750, 0.8895, 0.7500)  2 Se 2.85, 2 Cl 3.00

Properties
**Crystal system**: tetragonal
**Fermi-level density of states**: 5.22 states/eV/cell
**Relative energy among the computed polymorphs**: 134.7 meV per atom
**Uncorrected formation energy**: -0.425 eV/atom
**Total energy**: -0.2298 Ry/atom

***

Record 15
An optimized crystal structure of NdFe11. Source: the Alexandria database, functional GGA-PBE.

a = 6.4464 Å, b = 7.8256 Å, c = 7.8256 Å
α = 80.23°, β = 65.68°, γ = 65.68°
With the nearest neighbours (Å) after each atom.
Fractional coordinates of all 24 atoms:
Fe (0.6062, 0.3286, 0.0794)  10 Fe 2.43-2.70
Fe (0.3145, 0.0794, 0.6714)  10 Fe 2.43-2.70
Fe (0.3750, 0.7500, 0.7500)  10 Fe 2.43-2.65
Fe (0.4355, 0.4206, 0.8286)  10 Fe 2.43-2.70
Fe (0.7358, 0.5794, 0.8286)  10 Fe 2.43-2.70
Fe (0.4355, 0.8286, 0.4206)  10 Fe 2.43-2.70
Fe (0.0000, 0.0000, 0.0000)  12 Fe 2.65-2.70
Fe (0.0142, 0.9206, 0.6714)  10 Fe 2.43-2.70
Nd (0.2500, 0.5000, 0.5000)  22 Fe 3.13-3.49
Fe (0.3145, 0.6714, 0.0794)  10 Fe 2.43-2.70
Fe (0.8750, 0.7500, 0.2500)  10 Fe 2.43-2.65
Fe (0.6848, 0.1714, 0.5794)  10 Fe 2.43-2.70
Fe (0.0142, 0.6714, 0.9206)  10 Fe 2.43-2.70
Fe (0.7500, 0.5000, 0.5000)  12 Fe 2.65-2.70
Fe (0.7358, 0.8286, 0.5794)  10 Fe 2.43-2.70
Fe (0.8750, 0.2500, 0.7500)  10 Fe 2.43-2.65
Fe (0.0652, 0.9206, 0.3286)  10 Fe 2.43-2.70
Fe (0.8750, 0.2500, 0.2500)  10 Fe 2.43-2.65
Fe (0.6848, 0.5794, 0.1714)  10 Fe 2.43-2.70
Fe (0.1438, 0.4206, 0.1714)  10 Fe 2.43-2.70
Fe (0.6062, 0.0794, 0.3286)  10 Fe 2.43-2.70
Fe (0.1438, 0.1714, 0.4206)  10 Fe 2.43-2.70
Fe (0.0652, 0.3286, 0.9206)  10 Fe 2.43-2.70
Nd (0.5000, 0.0000, 0.0000)  22 Fe 3.13-3.49

Properties
**Crystal system**: tetragonal
**Fermi-level density of states**: 17.97 states/eV/cell
**ΔH_f (0 K)**: 0.057 eV per atom
**Total energy**: -0.5952 Ry/atom

***

Record 16
An optimized crystal structure of CaPuP2. Source: the Alexandria database, functional GGA-PBE.

a = 5.6825 Å, b = 5.6825 Å, c = 7.0498 Å
α = 113.77°, β = 113.77°, γ = 90.00°
With the nearest neighbours (Å) after each atom.
Fractional coordinates of all 8 atoms:
P (0.2345, 0.2345, 0.4691)  3 Pu 2.72-2.85, 2 Ca 2.85
Pu (0.0000, 0.0000, 0.0000)  6 P 2.72-2.85
Pu (0.7500, 0.2500, 0.5000)  6 P 2.72-2.85
P (0.9845, 0.4845, 0.9691)  3 Pu 2.72-2.85, 2 Ca 2.85
P (0.5155, 0.0155, 0.0309)  3 Pu 2.72-2.85, 2 Ca 2.85
P (0.7655, 0.7655, 0.5309)  3 Pu 2.72-2.85, 2 Ca 2.85
Ca (0.2500, 0.7500, 0.5000)  6 P 2.85-3.08
Ca (0.5000, 0.5000, 0.0000)  6 P 2.85-3.08

Properties
**Crystal system**: tetragonal
**Fermi-level density of states**: 23.77 states/eV/cell
**Relative energy among the computed polymorphs**: 24.9 meV per atom
**ΔH_f (0 K)**: -1.066 eV per atom
**Total energy**: -0.5773 Ry/atom

***

Record 17
An optimized crystal structure of LaHfBr2. Source: the Alexandria database, functional GGA-PBE.

a = 10.1961 Å, b = 10.1961 Å, c = 10.1961 Å
α = 20.11°, β = 20.11°, γ = 20.11°
With the nearest neighbours (Å) after each atom.
Fractional coordinates of all 4 atoms:
Br (0.9102, 0.9102, 0.9102)  1 Hf 2.69
La (0.5000, 0.5000, 0.5000)  6 Br 3.09
Hf (0.0000, 0.0000, 0.0000)  2 Br 2.69
Br (0.0898, 0.0898, 0.0898)  1 Hf 2.69

Properties
**Crystal system**: trigonal
**Fermi-level density of states**: 3.55 states/eV/cell
**Relative energy among the computed polymorphs**: 0.0 meV per atom
**Uncorrected formation energy**: -0.678 eV/atom
**Total energy**: -0.3847 Ry/atom